{
  "formula": "Tb2SmI",
  "functional": "GGA-PBE",
  "state": "relaxed",
  "raw_formation_energy_ev_per_atom": -0.2880,
  "final_energy_ev_per_cell": -16.7,
  "de_polymorph_ev_per_atom": 0.074,
  "m_tot_mub_per_fu": 0.00,
  "spacegroup": "P4/mmm (123)",
  "lattice": [[-2.2375, 1.6881, 2.3619], [1.3935, -1.9915, 2.7435], [6.6602, 6.7278, 1.5009]],
  "species": ["Sm", "Tb", "Tb", "I"],
  "frac_coords": [[0.5000, 0.5000, 0.5000], [0.0000, 0.0000, 0.7576], [0.0000, 0.0000, 0.2424], [0.5000, 0.5000, 0.0000]]
}